Entry from Alexandria via LeMat-Bulk: a geometry-optimized AcPrB12 structure (PBE).

Unit cell a=5.906 b=5.906 c=5.906 alpha=60.00 beta=60.00 gamma=60.00
Atoms (fractional coordinates):
Ac  0.000  0.000  0.000
Pr  0.500  0.500  0.500
B  0.900  0.900  0.600
B  0.400  0.400  0.100
B  0.600  0.900  0.600
B  0.100  0.400  0.100
B  0.900  0.600  0.600
B  0.400  0.100  0.100
B  0.900  0.600  0.900
B  0.400  0.100  0.400
B  0.600  0.900  0.900
B  0.100  0.400  0.400
B  0.600  0.600  0.900
B  0.100  0.100  0.400

Values from the calculation:
Energy of formation   -0.510 eV/atom
Crystal system   cubic